1.
TlSbAu | SCAN | PBEsol geometry

a = 4.6457 Å, b = 4.6457 Å, c = 4.1987 Å
α = 90.00°, β = 90.00°, γ = 120.00°
Last column: nearest neighbours and their distance in Å.
Space group P-6m2 (No. 187)
One atom of each set of equivalent atoms:
1 Tl 0.0000 0.0000 0.0000 [1 per cell]  6 Au 3.41, 6 Sb 3.41
2 Sb 0.6667 0.3333 0.5000 [1 per cell]  3 Au 2.68
3 Au 0.3333 0.6667 0.5000 [1 per cell]  3 Sb 2.68

Values from the calculation:
- Formation energy (no corrections): -60 meV/atom



2.
K2Y2Mg | SCAN | PBEsol geometry

a = 4.4126 Å, b = 4.4126 Å, c = 23.5632 Å
α = 90.00°, β = 90.00°, γ = 90.00°
Last column: nearest neighbours and their distance in Å.
Space group I4/mmm (No. 139)
One atom of each set of equivalent atoms:
1 K 0.0000 0.0000 0.1015 [4 per cell]  4 Mg 3.93, 4 Y 4.14
2 Y 0.0000 0.5000 0.2500 [4 per cell]  4 Y 3.12
3 Mg 0.0000 0.0000 0.5000 [2 per cell]  8 K 3.93

Values from the calculation:
- Energy of formation: 589.1 meV per atom



3.
BaCr3O | SCAN | PBEsol geometry

a = 4.2241 Å, b = 4.2241 Å, c = 4.2241 Å
α = 90.00°, β = 90.00°, γ = 90.00°
Last column: nearest neighbours and their distance in Å.
Space group Pm-3m (No. 221)
One atom of each set of equivalent atoms:
1 Ba 0.0000 0.0000 0.0000 [1 per cell]  12 Cr 2.99
2 Cr 0.0000 0.5000 0.5000 [3 per cell]  2 O 2.11
3 O 0.5000 0.5000 0.5000 [1 per cell]  6 Cr 2.11

Values from the calculation:
- Formation energy (no corrections): 391 meV/atom



4.
CoReTc2 | SCAN | PBEsol geometry

a = 3.7652 Å, b = 3.7652 Å, c = 7.4171 Å
α = 90.00°, β = 90.00°, γ = 90.00°
Last column: nearest neighbours and their distance in Å.
Space group I-4m2 (No. 119)
One atom of each set of equivalent atoms:
1 Co 0.0000 0.0000 0.0000 [2 per cell]  4 Re 2.64, 8 Tc 2.64-2.66
2 Re 0.0000 0.5000 0.2500 [2 per cell]  4 Co 2.64, 8 Tc 2.64-2.66
3 Tc 0.0000 0.0000 0.5000 [2 per cell]  4 Tc 2.64, 4 Re 2.64, 4 Co 2.66
4 Tc 0.0000 0.5000 0.7500 [2 per cell]  4 Co 2.64, 4 Tc 2.64, 4 Re 2.66

Values from the calculation:
- Energy of formation: 80.0 meV per atom



5.
NiHgPb2 | SCAN | PBEsol geometry

a = 3.2143 Å, b = 4.3454 Å, c = 13.1179 Å
α = 90.00°, β = 90.00°, γ = 90.00°
Last column: nearest neighbours and their distance in Å.
Space group Immm (No. 71)
One atom of each set of equivalent atoms:
1 Ni 0.0000 0.0000 0.0000 [2 per cell]  4 Hg 2.70, 4 Pb 2.77
2 Hg 0.0000 0.0000 0.5000 [2 per cell]  4 Ni 2.70
3 Pb 0.0000 0.5000 0.3282 [4 per cell]  2 Ni 2.77

Values from the calculation:
- Energy of formation: 143.0 meV per atom



6.
AlFeSb2 | SCAN | PBEsol geometry

a = 3.9977 Å, b = 3.9977 Å, c = 9.9531 Å
α = 90.00°, β = 90.00°, γ = 90.00°
Last column: nearest neighbours and their distance in Å.
Space group I-4m2 (No. 119)
One atom of each set of equivalent atoms:
1 Al 0.0000 0.0000 0.0000 [2 per cell]  4 Sb 2.83
2 Fe 0.0000 0.5000 0.2500 [2 per cell]  4 Sb 2.83
3 Sb 0.0000 0.0000 0.5000 [2 per cell]  4 Al 2.83
4 Sb 0.0000 0.5000 0.7500 [2 per cell]  4 Fe 2.83

Values from the calculation:
- Formation energy (no corrections): 464 meV/atom



7.
Pt2IN | SCAN | PBEsol geometry

a = 4.9875 Å, b = 4.9875 Å, c = 12.0695 Å
α = 90.00°, β = 90.00°, γ = 90.00°
Last column: nearest neighbours and their distance in Å.
Space group I-42d (No. 122)
One atom of each set of equivalent atoms:
1 Pt 0.1002 0.2500 0.1250 [8 per cell]  2 N 2.02
2 I 0.0000 0.0000 0.5000 [4 per cell]  4 Pt 2.79
3 N 0.0000 0.0000 0.0000 [4 per cell]  4 Pt 2.02

Values from the calculation:
- Formation energy (no corrections): 627 meV/atom



8.
Ca2RhCl | SCAN | PBEsol geometry

a = 6.9353 Å, b = 6.9353 Å, c = 6.9353 Å
α = 90.00°, β = 90.00°, γ = 90.00°
Last column: nearest neighbours and their distance in Å.
Space group F-43m (No. 216)
One atom of each set of equivalent atoms:
1 Ca 0.0000 0.0000 0.0000 [4 per cell]  4 Cl 3.00, 4 Ca 3.00
2 Ca 0.2500 0.2500 0.2500 [4 per cell]  4 Rh 3.00, 4 Ca 3.00
3 Rh 0.0000 0.0000 0.5000 [4 per cell]  4 Cl 3.00, 4 Ca 3.00
4 Cl 0.2500 0.2500 0.7500 [4 per cell]  4 Ca 3.00, 4 Rh 3.00

Values from the calculation:
- Formation energy (no corrections): -225 meV/atom



9.
BeOsSe | SCAN | PBEsol geometry

a = 5.4813 Å, b = 5.4813 Å, c = 5.4813 Å
α = 90.00°, β = 90.00°, γ = 90.00°
Last column: nearest neighbours and their distance in Å.
Space group F-43m (No. 216)
One atom of each set of equivalent atoms:
1 Be 0.0000 0.0000 0.0000 [4 per cell]  4 Se 2.37, 4 Os 2.37
2 Os 0.2500 0.2500 0.7500 [4 per cell]  4 Be 2.37
3 Se 0.2500 0.2500 0.2500 [4 per cell]  4 Be 2.37

Values from the calculation:
- Formation energy (no corrections): 708 meV/atom



10.
MgWBr2 | SCAN | PBEsol geometry

a = 10.2830 Å, b = 3.1070 Å, c = 7.0342 Å
α = 90.00°, β = 113.35°, γ = 90.00°
Last column: nearest neighbours and their distance in Å.
Space group Cm (No. 8)
One atom of each set of equivalent atoms:
1 Mg 0.0000 0.0000 0.0000 [2 per cell]  3 W 2.81-2.86, 1 Br 2.97, 2 Mg 3.11
2 W 0.2483 0.5000 0.0668 [2 per cell]  4 Br 2.54-2.60, 1 Mg 2.81
3 Br 0.1708 0.0000 0.7447 [2 per cell]  2 W 2.60
4 Br 0.3419 0.0000 0.3771 [2 per cell]  2 W 2.54

Values from the calculation:
- Formation energy (no corrections): 342 meV/atom



11.
Mn2CoHg | SCAN | PBEsol geometry

a = 3.7013 Å, b = 3.8986 Å, c = 7.7266 Å
α = 90.00°, β = 90.00°, γ = 90.00°
Last column: nearest neighbours and their distance in Å.
Space group Imm2 (No. 44)
One atom of each set of equivalent atoms:
1 Mn 0.0000 0.0000 0.0000 [2 per cell]  4 Co 2.69, 4 Mn 2.70-2.72, 4 Hg 2.71
2 Mn 0.0000 0.5000 0.2458 [2 per cell]  4 Co 2.60-2.82, 4 Hg 2.69, 4 Mn 2.70-2.72
3 Co 0.0000 0.0000 0.5088 [2 per cell]  8 Mn 2.60-2.82, 4 Hg 2.69-2.73
4 Hg 0.0000 0.5000 0.7555 [2 per cell]  8 Mn 2.69-2.71, 4 Co 2.69-2.73

Values from the calculation:
- Energy of formation: 58.4 meV per atom



12.
HfFe2RhPb | SCAN | PBEsol geometry

a = 4.6461 Å, b = 4.6461 Å, c = 5.2659 Å
α = 90.00°, β = 90.00°, γ = 90.00°
Last column: nearest neighbours and their distance in Å.
Space group P4/mmm (No. 123)
One atom of each set of equivalent atoms:
1 Hf 0.0000 0.0000 0.0000 [1 per cell]  2 Pb 2.63
2 Fe 0.0000 0.5000 0.5000 [2 per cell]  2 Pb 2.32
3 Rh 0.5000 0.5000 0.0000 [1 per cell]  4 Hf 3.29, 8 Fe 3.51
4 Pb 0.0000 0.0000 0.5000 [1 per cell]  4 Fe 2.32

Values from the calculation:
- Energy of formation: 1679.4 meV per atom



The electronic total energy results, record by record, are as follows: -59.65 -14.87 -19.80 -39.55 -58.83 -24.64 -45.98 -15.49 -31.40 -28.05 -30.44 -40.02 eV/atom.